Here is an optimized crystal structure of Nd3Y2ErSe6 from Alexandria via LeMat-Bulk. Energies are from PBE.

Cell: 7.1391 7.1391 7.2924 Å, 99.37 99.37 120.27°
Last column: nearest neighbours and their distance in Å.
Positions (direct):
1 Nd 0.0000 0.0000 0.0000  6 Se 2.99-3.01
2 Nd 0.3309 0.6691 0.0000  6 Se 2.99-3.00
3 Nd 0.6691 0.3309 0.0000  6 Se 2.99-3.00
4 Y 0.1669 0.8331 0.5000  6 Se 2.88-2.89
5 Y 0.8331 0.1669 0.5000  6 Se 2.88-2.89
6 Er 0.5000 0.5000 0.5000  6 Se 2.85-2.86
7 Se 0.0920 0.4219 0.2656  1 Er 2.85, 2 Y 2.88, 3 Nd 2.99-3.00
8 Se 0.2487 0.2487 0.7363  1 Er 2.86, 2 Y 2.89, 3 Nd 3.00-3.01
9 Se 0.4219 0.0920 0.2656  1 Er 2.85, 2 Y 2.88, 3 Nd 2.99-3.00
10 Se 0.5781 0.9080 0.7344  1 Er 2.85, 2 Y 2.88, 3 Nd 2.99-3.00
11 Se 0.7513 0.7513 0.2637  1 Er 2.86, 2 Y 2.89, 3 Nd 3.00-3.01
12 Se 0.9080 0.5781 0.7344  1 Er 2.85, 2 Y 2.88, 3 Nd 2.99-3.00

Properties
raw total energy: -6.189 eV/atom
space-group type: C2/m (12)
density of states at the Fermi level: 5.82 states/eV/f.u.

---

Here is an optimized crystal structure of Nd2ErZnSe5 from Alexandria via LeMat-Bulk. Energies are from PBE.

Cell: 9.1348 9.1348 12.4533 Å, 90.00 90.00 154.58°
Last column: nearest neighbours and their distance in Å.
Positions (direct):
1 Nd 0.1151 0.8849 0.5000  8 Se 3.06-3.21
2 Nd 0.1307 0.8693 0.1317  7 Se 3.03-3.30
3 Nd 0.8693 0.1307 0.6317  7 Se 3.03-3.30
4 Nd 0.8849 0.1151 0.0000  8 Se 3.06-3.21
5 Er 0.1988 0.8012 0.8317  6 Se 2.81-2.85
6 Er 0.8012 0.1988 0.3317  6 Se 2.81-2.85
7 Zn 0.4475 0.5525 0.2660  4 Se 2.40-2.66
8 Zn 0.5525 0.4475 0.7660  4 Se 2.40-2.66
9 Se 0.0433 0.9567 0.8765  2 Zn 2.44
10 Se 0.2885 0.7115 0.4909  2 Er 2.83, 3 Nd 3.03-3.09
11 Se 0.3139 0.6861 0.1705  1 Zn 2.66, 2 Er 2.85
12 Se 0.3564 0.6436 0.8192  1 Er 2.81, 4 Nd 3.06-3.09
13 Se 0.4955 0.5045 0.5916  1 Zn 2.40
14 Se 0.5045 0.4955 0.0916  1 Zn 2.40
15 Se 0.6436 0.3564 0.3192  1 Er 2.81, 4 Nd 3.06-3.09
16 Se 0.6861 0.3139 0.6705  1 Zn 2.66, 2 Er 2.85
17 Se 0.7115 0.2885 0.9909  2 Er 2.83, 3 Nd 3.03-3.09
18 Se 0.9567 0.0433 0.3765  2 Zn 2.44

Properties
raw total energy: -5.228 eV/atom
space-group type: Cmc2_1 (36)
density of states at the Fermi level: 0.88 states/eV/f.u.

---

Here is an optimized crystal structure of Nd3Er3Si4 from Alexandria via LeMat-Bulk. Energies are from PBE.

Cell: 4.3408 7.5385 7.5385 Å, 90.70 90.00 90.00°
Last column: nearest neighbours and their distance in Å.
Positions (direct):
1 Nd 0.0000 0.0000 0.0000  6 Si 3.13-3.14
2 Nd 0.0000 0.4956 0.8512  6 Si 3.12-3.16
3 Nd 0.0000 0.8512 0.4956  6 Si 3.12-3.16
4 Er 0.0000 0.3520 0.3520  6 Si 3.04-3.08
5 Er 0.5000 0.1745 0.6758  4 Si 2.98-3.07
6 Er 0.5000 0.6758 0.1745  4 Si 2.98-3.07
7 Si 0.5000 0.0665 0.2943  1 Si 2.44
8 Si 0.5000 0.2943 0.0665  1 Si 2.44
9 Si 0.5000 0.5534 0.5534  1 Si 2.48
10 Si 0.5000 0.7874 0.7874  1 Si 2.48

Properties
raw total energy: -5.662 eV/atom
space-group type: Amm2 (38)
density of states at the Fermi level: 8.12 states/eV/f.u.

---

Here is an optimized crystal structure of NdErSi3 from Alexandria via LeMat-Bulk. Energies are from PBE.

Cell: 12.4894 12.4894 3.9572 Å, 90.00 90.00 160.48°
Last column: nearest neighbours and their distance in Å.
Positions (direct):
1 Nd 0.0709 0.9291 0.7500  12 Si 3.11-3.41
2 Nd 0.9291 0.0709 0.2500  12 Si 3.11-3.41
3 Er 0.2031 0.7969 0.2500  7 Si 2.89-2.96
4 Er 0.7969 0.2031 0.7500  7 Si 2.89-2.96
5 Si 0.3204 0.6796 0.2500  2 Si 2.44
6 Si 0.3788 0.6212 0.7500  3 Si 2.36-2.44
7 Si 0.4746 0.5254 0.7500  3 Si 2.34-2.36
8 Si 0.5254 0.4746 0.2500  3 Si 2.34-2.36
9 Si 0.6212 0.3788 0.2500  3 Si 2.36-2.44
10 Si 0.6796 0.3204 0.7500  2 Si 2.44

Properties
raw total energy: -5.818 eV/atom
space-group type: Cmcm (63)
density of states at the Fermi level: 1.63 states/eV/f.u.

---

Here is an optimized crystal structure of Nd2ErSi2 from Alexandria via LeMat-Bulk. Energies are from PBE.

Cell: 7.5793 7.5793 4.3971 Å, 90.00 90.00 90.00°
Last column: nearest neighbours and their distance in Å.
Positions (direct):
1 Nd 0.1772 0.3228 0.0000  6 Si 3.13-3.16
2 Nd 0.3228 0.8228 0.0000  6 Si 3.13-3.16
3 Nd 0.6772 0.1772 0.0000  6 Si 3.13-3.16
4 Nd 0.8228 0.6772 0.0000  6 Si 3.13-3.16
5 Er 0.0000 0.0000 0.5000  4 Si 3.05
6 Er 0.5000 0.5000 0.5000  4 Si 3.05
7 Si 0.1147 0.6147 0.5000  1 Si 2.46
8 Si 0.3853 0.1147 0.5000  1 Si 2.46
9 Si 0.6147 0.8853 0.5000  1 Si 2.46
10 Si 0.8853 0.3853 0.5000  1 Si 2.46

Properties
raw total energy: -5.682 eV/atom
space-group type: P4/mbm (127)
density of states at the Fermi level: 4.08 states/eV/f.u.

---

Here is an optimized crystal structure of NdErSi from Alexandria via LeMat-Bulk. Energies are from PBE.

Cell: 6.1686 6.1686 8.1964 Å, 124.61 124.61 40.36°
Last column: nearest neighbours and their distance in Å.
Positions (direct):
1 Nd 0.0851 0.0851 0.3581  4 Si 3.11-3.13
2 Nd 0.9149 0.9149 0.6419  4 Si 3.11-3.13
3 Er 0.3216 0.3216 0.9227  3 Si 2.91-3.05
4 Er 0.6784 0.6784 0.0773  3 Si 2.91-3.05
5 Si 0.3782 0.3782 0.3373  1 Si 2.44
6 Si 0.6218 0.6218 0.6627  1 Si 2.44

Properties
raw total energy: -5.427 eV/atom
space-group type: C2/m (12)
density of states at the Fermi level: 3.32 states/eV/f.u.

---

Here is an optimized crystal structure of Nd2Er3Si4 from Alexandria via LeMat-Bulk. Energies are from PBE.

Cell: 7.7079 7.7582 7.4510 Å, 90.00 107.10 90.00°
Last column: nearest neighbours and their distance in Å.
Positions (direct):
1 Nd 0.1973 0.1768 0.0816  6 Si 3.08-3.26
2 Nd 0.1973 0.3232 0.5816  6 Si 3.08-3.26
3 Nd 0.8027 0.6768 0.4184  6 Si 3.08-3.26
4 Nd 0.8027 0.8232 0.9184  6 Si 3.08-3.26
5 Er 0.2456 0.6800 0.2527  6 Si 2.86-2.97
6 Er 0.2456 0.8200 0.7527  6 Si 2.86-2.97
7 Er 0.5000 0.0000 0.5000  6 Si 2.96-3.12
8 Er 0.5000 0.5000 0.0000  6 Si 2.96-3.12
9 Er 0.7544 0.1800 0.2473  6 Si 2.86-2.97
10 Er 0.7544 0.3200 0.7473  6 Si 2.86-2.97
11 Si 0.0785 0.5321 0.8761  1 Si 2.54
12 Si 0.0785 0.9679 0.3761  1 Si 2.54
13 Si 0.4936 0.1190 0.8756  1 Si 2.60
14 Si 0.4936 0.3810 0.3756  1 Si 2.60
15 Si 0.5064 0.6190 0.6244  1 Si 2.60
16 Si 0.5064 0.8810 0.1244  1 Si 2.60
17 Si 0.9215 0.0321 0.6239  1 Si 2.54
18 Si 0.9215 0.4679 0.1239  1 Si 2.54

Properties
raw total energy: -5.758 eV/atom
space-group type: P2_1/c (14)
density of states at the Fermi level: 8.01 states/eV/f.u.

---

Here is an optimized crystal structure of Nd2ErSi from Alexandria via LeMat-Bulk. Energies are from PBE.

Cell: 4.7076 4.7076 4.7675 Å, 90.00 90.00 90.00°
Last column: nearest neighbours and their distance in Å.
Positions (direct):
1 Nd 0.0000 0.5000 0.0000  4 Nd 3.33, 4 Si 3.35, 4 Er 3.35
2 Nd 0.5000 0.0000 0.0000  4 Nd 3.33, 4 Si 3.35, 4 Er 3.35
3 Er 0.0000 0.0000 0.5000  4 Si 3.33, 8 Nd 3.35
4 Si 0.5000 0.5000 0.5000  4 Er 3.33, 8 Nd 3.35

Properties
raw total energy: -5.119 eV/atom
space-group type: P4/mmm (123)
density of states at the Fermi level: 3.98 states/eV/f.u.

---

Here is an optimized crystal structure of Nd2ErSi2 from Alexandria via LeMat-Bulk. Energies are from PBE.

Cell: 6.5857 6.5857 10.7255 Å, 115.29 115.29 38.62°
Last column: nearest neighbours and their distance in Å.
Positions (direct):
1 Nd 0.0154 0.0154 0.1885  6 Si 3.12-3.21
2 Nd 0.1794 0.1794 0.5914  4 Si 3.11-3.26
3 Nd 0.8206 0.8206 0.4086  4 Si 3.11-3.26
4 Nd 0.9846 0.9846 0.8115  6 Si 3.12-3.21
5 Er 0.2751 0.2751 0.1326  4 Si 2.85-2.99
6 Er 0.7249 0.7249 0.8674  4 Si 2.85-2.99
7 Si 0.3900 0.3900 0.9456  1 Si 2.44
8 Si 0.4904 0.4904 0.6066  1 Si 2.40
9 Si 0.5096 0.5096 0.3934  1 Si 2.40
10 Si 0.6100 0.6100 0.0544  1 Si 2.44

Properties
raw total energy: -5.618 eV/atom
space-group type: C2/m (12)
density of states at the Fermi level: 3.54 states/eV/f.u.

---

Here is an optimized crystal structure of NdErSi from Alexandria via LeMat-Bulk. Energies are from PBE.

Cell: 6.8807 6.8807 6.8807 Å, 130.74 130.74 72.23°
Last column: nearest neighbours and their distance in Å.
Positions (direct):
1 Nd 0.0000 0.0000 0.0000  3 Si 2.87-2.94
2 Nd 0.7500 0.2500 0.5000  3 Si 2.87-2.94
3 Er 0.2651 0.7651 0.5000  3 Si 2.79-2.87
4 Er 0.5151 0.5151 0.0000  3 Si 2.79-2.87
5 Si 0.0141 0.5141 0.5000  3 Er 2.79-2.87, 3 Nd 2.87-2.94
6 Si 0.2641 0.2641 0.0000  3 Er 2.79-2.87, 3 Nd 2.87-2.94

Properties
raw total energy: -5.188 eV/atom
space-group type: I4_1md (109)
density of states at the Fermi level: 3.93 states/eV/f.u.

---

Here is an optimized crystal structure of NdErSi from Alexandria via LeMat-Bulk. Energies are from PBE.

Cell: 4.9131 4.9131 4.9131 Å, 60.00 60.00 60.00°
Last column: nearest neighbours and their distance in Å.
Positions (direct):
1 Nd 0.0000 0.0000 0.0000  4 Si 3.01
2 Er 0.5000 0.5000 0.5000  4 Si 3.01
3 Si 0.2500 0.2500 0.2500  4 Nd 3.01, 4 Er 3.01

Properties
raw total energy: -5.358 eV/atom
space-group type: F-43m (216)
density of states at the Fermi level: 2.33 states/eV/f.u.

---

Here is an optimized crystal structure of NdEr2Si2 from Alexandria via LeMat-Bulk. Energies are from PBE.

Cell: 5.5690 4.1667 11.2735 Å, 90.00 97.15 90.00°
Last column: nearest neighbours and their distance in Å.
Positions (direct):
1 Nd 0.0874 0.2500 0.2790  5 Si 2.97-3.10
2 Nd 0.9126 0.7500 0.7210  5 Si 2.97-3.10
3 Er 0.2463 0.2500 0.9520  4 Si 2.86-2.92
4 Er 0.4066 0.2500 0.6260  5 Si 2.98-3.12
5 Er 0.5934 0.7500 0.3740  5 Si 2.98-3.12
6 Er 0.7537 0.7500 0.0480  4 Si 2.86-2.92
7 Si 0.1247 0.7500 0.4796  2 Si 2.58
8 Si 0.2731 0.7500 0.1268  5 Er 2.86-3.12, 2 Nd 2.97
9 Si 0.7269 0.2500 0.8732  5 Er 2.86-3.12, 2 Nd 2.97
10 Si 0.8753 0.2500 0.5204  2 Si 2.58

Properties
raw total energy: -5.439 eV/atom
space-group type: P2_1/m (11)
density of states at the Fermi level: 4.65 states/eV/f.u.

---

Here is an optimized crystal structure of Nd2ErSi from Alexandria via LeMat-Bulk. Energies are from PBE.

Cell: 11.0961 11.0961 11.0961 Å, 19.20 19.20 19.20°
Last column: nearest neighbours and their distance in Å.
Positions (direct):
1 Nd 0.1063 0.1063 0.1063  3 Si 2.91
2 Nd 0.8937 0.8937 0.8937  3 Si 2.91
3 Er 0.0000 0.0000 0.0000  2 Nd 3.47, 6 Er 3.70
4 Si 0.5000 0.5000 0.5000  6 Nd 2.91

Properties
raw total energy: -4.797 eV/atom
space-group type: R-3m (166)
density of states at the Fermi level: 6.33 states/eV/f.u.

---

Here is an optimized crystal structure of NdErSi2 from Alexandria via LeMat-Bulk. Energies are from PBE.

Cell: 3.8762 5.7823 5.7823 Å, 44.28 90.00 90.00°
Last column: nearest neighbours and their distance in Å.
Positions (direct):
1 Nd 0.0000 0.0000 0.0000  7 Si 3.01-3.19
2 Er 0.5000 0.7201 0.7201  7 Si 2.99-3.14
3 Si 0.0000 0.2825 0.2825  2 Si 2.51
4 Si 0.5000 0.4312 0.4312  2 Si 2.51

Properties
raw total energy: -5.816 eV/atom
space-group type: Amm2 (38)
density of states at the Fermi level: 2.97 states/eV/f.u.

---

Here is an optimized crystal structure of NdEr4Si4 from Alexandria via LeMat-Bulk. Energies are from PBE.

Cell: 9.1616 9.1616 5.6701 Å, 90.00 90.00 90.00°
Last column: nearest neighbours and their distance in Å.
Positions (direct):
1 Nd 0.2500 0.2500 0.2500  4 Si 3.10
2 Nd 0.7500 0.7500 0.7500  4 Si 3.10
3 Er 0.0986 0.6426 0.1287  5 Si 2.88-2.94
4 Er 0.1426 0.9014 0.6287  5 Si 2.88-2.94
5 Er 0.3574 0.5986 0.6287  5 Si 2.88-2.94
6 Er 0.4014 0.8574 0.1287  5 Si 2.88-2.94
7 Er 0.5986 0.1426 0.8713  5 Si 2.88-2.94
8 Er 0.6426 0.4014 0.3713  5 Si 2.88-2.94
9 Er 0.8574 0.0986 0.3713  5 Si 2.88-2.94
10 Er 0.9014 0.3574 0.8713  5 Si 2.88-2.94
11 Si 0.0424 0.5961 0.6335  1 Si 2.45
12 Si 0.0961 0.9576 0.1335  1 Si 2.45
13 Si 0.4039 0.5424 0.1335  1 Si 2.45
14 Si 0.4576 0.9039 0.6335  1 Si 2.45
15 Si 0.5424 0.0961 0.3665  1 Si 2.45
16 Si 0.5961 0.4576 0.8665  1 Si 2.45
17 Si 0.9039 0.0424 0.8665  1 Si 2.45
18 Si 0.9576 0.4039 0.3665  1 Si 2.45

Properties
raw total energy: -5.447 eV/atom
space-group type: P4_2/n (86)
density of states at the Fermi level: 7.25 states/eV/f.u.

---

Here is an optimized crystal structure of NdErSi from Alexandria via LeMat-Bulk. Energies are from PBE.

Cell: 4.6888 4.6888 4.2442 Å, 90.00 90.00 120.00°
Last column: nearest neighbours and their distance in Å.
Positions (direct):
1 Nd 0.0000 0.0000 0.0000  3 Si 3.14, 6 Er 3.37-3.51
2 Er 0.6667 0.3333 0.4727  3 Si 2.78
3 Si 0.3333 0.6667 0.6260  3 Er 2.78

Properties
raw total energy: -5.235 eV/atom
space-group type: P3m1 (156)
density of states at the Fermi level: 1.54 states/eV/f.u.

---

Here is an optimized crystal structure of NdErSi2 from Alexandria via LeMat-Bulk. Energies are from PBE.

Cell: 5.8810 5.8810 5.8810 Å, 46.24 46.24 46.24°
Last column: nearest neighbours and their distance in Å.
Positions (direct):
1 Nd 0.0000 0.0000 0.0000  6 Si 3.04
2 Er 0.5000 0.5000 0.5000  6 Si 2.90
3 Si 0.2399 0.2399 0.2399  3 Er 2.90, 3 Nd 3.04
4 Si 0.7601 0.7601 0.7601  3 Er 2.90, 3 Nd 3.04

Properties
raw total energy: -5.528 eV/atom
space-group type: R-3m (166)
density of states at the Fermi level: 2.33 states/eV/f.u.

---

Here is an optimized crystal structure of Nd5ErSi4 from Alexandria via LeMat-Bulk. Energies are from PBE.

Cell: 8.2229 8.2229 6.9392 Å, 90.97 90.97 35.71°
Last column: nearest neighbours and their distance in Å.
Positions (direct):
1 Nd 0.0000 0.0000 0.0000  6 Si 3.11-3.26, 2 Er 3.47
2 Nd 0.3338 0.3338 0.4917  5 Si 2.98-3.18
3 Nd 0.3362 0.3362 0.0004  5 Si 3.05-3.22, 1 Nd 3.41
4 Nd 0.6638 0.6638 0.9996  5 Si 3.05-3.22, 1 Nd 3.41
5 Nd 0.6662 0.6662 0.5083  5 Si 2.98-3.18
6 Er 0.0000 0.0000 0.5000  6 Si 3.01-3.21
7 Si 0.1744 0.1744 0.7493  7 Nd 3.03-3.26, 1 Er 3.21
8 Si 0.4919 0.4919 0.7366  6 Nd 2.98-3.22, 2 Er 3.01, 1 Si 3.30
9 Si 0.5081 0.5081 0.2634  6 Nd 2.98-3.22, 2 Er 3.01, 1 Si 3.30
10 Si 0.8256 0.8256 0.2507  7 Nd 3.03-3.26, 1 Er 3.21

Properties
raw total energy: -5.494 eV/atom
space-group type: C2/m (12)
density of states at the Fermi level: 5.11 states/eV/f.u.

---

Here is an optimized crystal structure of NdEr2Zn2Si2 from Alexandria via LeMat-Bulk. Energies are from PBE.

Cell: 11.4029 11.4029 11.4029 Å, 20.62 20.62 20.62°
Last column: nearest neighbours and their distance in Å.
Positions (direct):
1 Nd 0.0000 0.0000 0.0000  6 Zn 3.18, 6 Si 3.23
2 Er 0.1234 0.1234 0.1234  3 Si 3.04, 3 Zn 3.09
3 Er 0.8766 0.8766 0.8766  3 Si 3.04, 3 Zn 3.09
4 Zn 0.3969 0.3969 0.3969  3 Si 2.36
5 Zn 0.6031 0.6031 0.6031  3 Si 2.36
6 Si 0.2673 0.2673 0.2673  3 Zn 2.36
7 Si 0.7327 0.7327 0.7327  3 Zn 2.36

Properties
raw total energy: -4.341 eV/atom
space-group type: R-3m (166)
density of states at the Fermi level: 7.44 states/eV/f.u.

---

Here is an optimized crystal structure of NdErZnSi from Alexandria via LeMat-Bulk. Energies are from PBE.

Cell: 5.0429 5.0429 5.0429 Å, 60.00 60.00 60.00°
Last column: nearest neighbours and their distance in Å.
Positions (direct):
1 Nd 0.0000 0.0000 0.0000  4 Si 3.09, 4 Zn 3.09
2 Er 0.5000 0.5000 0.5000  4 Si 3.09, 4 Zn 3.09
3 Zn 0.2500 0.2500 0.2500  4 Er 3.09, 4 Nd 3.09
4 Si 0.7500 0.7500 0.7500  4 Er 3.09, 4 Nd 3.09

Properties
raw total energy: -4.441 eV/atom
space-group type: F-43m (216)
density of states at the Fermi level: 1.69 states/eV/f.u.

---

| no. | formation energy without anion corrections (meV/atom) |
| --- | --- |
| 1 | -1797 |
| 2 | -1585 |
| 3 | -693 |
| 4 | -698 |
| 5 | -693 |
| 6 | -509 |
| 7 | -767 |
| 8 | -239 |
| 9 | -629 |
| 10 | -270 |
| 11 | -440 |
| 12 | -491 |
| 13 | 83 |
| 14 | -772 |
| 15 | -479 |
| 16 | -317 |
| 17 | -484 |
| 18 | -485 |
| 19 | -443 |
| 20 | -434 |